1.
A relaxed structure of CsLaTl2Rh, computed with PBE.

Computed properties:
* energy: -3.7806 eV/atom
* space-group type: P4/mmm, No. 123

abc: 5.6408 5.6408 5.2427
angles: 90.00 90.00 90.00
Closest atoms and distances in Å follow each position.
Positions (direct):
Cs: 0.0000 0.0000 0.0000  8 Tl 3.85, 4 La 3.99
La: 0.5000 0.5000 0.0000  2 Rh 2.62
Tl: 0.0000 0.5000 0.5000  2 Rh 2.82
Tl: 0.5000 0.0000 0.5000  2 Rh 2.82
Rh: 0.5000 0.5000 0.5000  2 La 2.62, 4 Tl 2.82

2.
A relaxed structure of CaFeBr2, computed with PBE.

Computed properties:
* formation energy from raw total energies: -413 meV per atom
* space-group type: I-42d, No. 122

abc: 8.1933 8.1933 8.1933
angles: 140.82 140.82 56.61
Closest atoms and distances in Å follow each position.
Positions (direct):
Ca: 0.0000 0.0000 0.0000  4 Br 2.84
Ca: 0.7500 0.2500 0.5000  4 Br 2.84
Fe: 0.2500 0.7500 0.5000  4 Br 2.49
Fe: 0.5000 0.5000 0.0000  4 Br 2.49
Br: 0.1854 0.6250 0.0604  2 Fe 2.49
Br: 0.3750 0.4354 0.5604  2 Fe 2.49
Br: 0.5646 0.1250 0.9396  2 Fe 2.49
Br: 0.8750 0.8146 0.4396  2 Fe 2.49

Q: Number 2 is which compound?
A: CaFeBr2